A plane-wave DFT calculation with PBE was carried out for a geometry-optimized SmNb3N6 structure.

abc: 3.2140 9.0071 8.6334
angles: 107.49 90.00 90.00
Closest atoms and distances in Å follow each position.
Fractional coordinates of all 20 atoms:
1 Nb 0.7500 0.0889 0.1628  4 N 2.01-2.14
2 Nb 0.7500 0.5037 0.6788  7 N 2.11-2.35
3 Nb 0.2500 0.4963 0.3212  7 N 2.11-2.35
4 Nb 0.2500 0.9111 0.8372  4 N 2.01-2.14
5 Nb 0.7500 0.8292 0.4941  6 N 2.05-2.27
6 Nb 0.2500 0.1708 0.5059  6 N 2.05-2.27
7 N 0.7500 0.4504 0.1432  2 Nb 2.18
8 N 0.7500 0.7765 0.7519  2 Nb 2.01
9 N 0.2500 0.2235 0.2481  2 Nb 2.01
10 N 0.7500 0.0925 0.9268  3 Nb 2.05-2.26
11 N 0.7500 0.0295 0.3846  4 Nb 2.12-2.27
12 N 0.2500 0.7325 0.3118  3 Nb 2.15-2.23
13 N 0.2500 0.4031 0.5240  4 Nb 2.05-2.16
14 N 0.2500 0.5496 0.8568  2 Nb 2.18
15 N 0.7500 0.2675 0.6882  3 Nb 2.15-2.23
16 N 0.7500 0.5969 0.4760  4 Nb 2.05-2.16
17 N 0.2500 0.9075 0.0732  3 Nb 2.05-2.26
18 N 0.2500 0.9705 0.6154  4 Nb 2.12-2.27
19 Sm 0.2500 0.3002 0.9210  7 N 2.47-2.56
20 Sm 0.7500 0.6998 0.0790  7 N 2.47-2.56

Properties
- Raw formation energy: -909 meV/atom
- Space-group type: P2_1/m (11)
- Raw total energy: -9.397 eV/atom

---

A plane-wave DFT calculation with PBE was carried out for a geometry-optimized Sm3Nb5N12 structure.

abc: 11.3536 11.3536 11.3536
angles: 109.47 109.47 109.47
Closest atoms and distances in Å follow each position.
Fractional coordinates of all 80 atoms:
1 N 0.9049 0.0838 0.8810  2 Nb 1.95-2.11
2 N 0.0951 0.9162 0.1190  2 Nb 1.95-2.11
3 N 0.8211 0.9049 0.0240  2 Nb 1.95-2.11
4 N 0.3810 0.4049 0.0838  2 Nb 1.95-2.11
5 N 0.4162 0.1190 0.5951  2 Nb 1.95-2.11
6 N 0.9162 0.0951 0.6190  2 Nb 1.95-2.11
7 N 0.8810 0.5838 0.9049  2 Nb 1.95-2.11
8 N 0.3810 0.9760 0.7971  2 Nb 1.95-2.11
9 N 0.6190 0.5951 0.9162  2 Nb 1.95-2.11
10 N 0.9760 0.3810 0.2971  2 Nb 1.95-2.11
11 N 0.7971 0.4760 0.3810  2 Nb 1.95-2.11
12 N 0.8211 0.9162 0.2971  2 Nb 1.95-2.11
13 N 0.9049 0.8211 0.5240  2 Nb 1.95-2.11
14 N 0.7971 0.3211 0.9162  2 Nb 1.95-2.11
15 N 0.4049 0.0240 0.3211  2 Nb 1.95-2.11
16 N 0.5240 0.2029 0.1190  2 Nb 1.95-2.11
17 N 0.0838 0.9049 0.3810  2 Nb 1.95-2.11
18 N 0.5951 0.9760 0.6789  2 Nb 1.95-2.11
19 N 0.5838 0.7029 0.6789  2 Nb 1.95-2.11
20 N 0.2029 0.6789 0.0838  2 Nb 1.95-2.11
21 N 0.9760 0.5951 0.1789  2 Nb 1.95-2.11
22 N 0.6190 0.0240 0.2029  2 Nb 1.95-2.11
23 N 0.9162 0.8211 0.7971  2 Nb 1.95-2.11
24 N 0.1789 0.0838 0.7029  2 Nb 1.95-2.11
25 N 0.7029 0.5838 0.1789  2 Nb 1.95-2.11
26 N 0.4760 0.6789 0.0951  2 Nb 1.95-2.11
27 N 0.7029 0.1190 0.0240  2 Nb 1.95-2.11
28 N 0.0240 0.6190 0.7029  2 Nb 1.95-2.11
29 N 0.4049 0.3810 0.5838  2 Nb 1.95-2.11
30 N 0.4162 0.2971 0.3211  2 Nb 1.95-2.11
31 N 0.0951 0.1789 0.4760  2 Nb 1.95-2.11
32 N 0.5240 0.3211 0.9049  2 Nb 1.95-2.11
33 N 0.6789 0.2029 0.5838  2 Nb 1.95-2.11
34 N 0.6789 0.4760 0.5951  2 Nb 1.95-2.11
35 N 0.0838 0.1789 0.2029  2 Nb 1.95-2.11
36 N 0.0240 0.4049 0.8211  2 Nb 1.95-2.11
37 N 0.4760 0.7971 0.8810  2 Nb 1.95-2.11
38 N 0.1190 0.4162 0.0951  2 Nb 1.95-2.11
39 N 0.3211 0.5240 0.4049  2 Nb 1.95-2.11
40 N 0.2971 0.4162 0.8211  2 Nb 1.95-2.11
41 N 0.5838 0.8810 0.4049  2 Nb 1.95-2.11
42 N 0.3211 0.7971 0.4162  2 Nb 1.95-2.11
43 N 0.8810 0.2971 0.4760  2 Nb 1.95-2.11
44 N 0.1190 0.7029 0.5240  2 Nb 1.95-2.11
45 N 0.5951 0.6190 0.4162  2 Nb 1.95-2.11
46 N 0.1789 0.0951 0.9760  2 Nb 1.95-2.11
47 N 0.2029 0.5240 0.6190  2 Nb 1.95-2.11
48 N 0.2971 0.8810 0.9760  2 Nb 1.95-2.11
49 Nb 0.2500 0.8750 0.1250  4 N 1.95
50 Nb 0.8750 0.6250 0.7500  4 N 1.95
51 Nb 0.6250 0.8750 0.2500  4 N 1.95
52 Nb 0.5000 0.0000 0.5000  6 N 2.11
53 Nb 0.7500 0.1250 0.8750  4 N 1.95
54 Nb 0.1250 0.7500 0.3750  4 N 1.95
55 Nb 0.7500 0.6250 0.3750  4 N 1.95
56 Nb 0.5000 0.5000 0.5000  6 N 2.11
57 Nb 0.0000 0.5000 0.0000  6 N 2.11
58 Nb 0.5000 0.5000 0.0000  6 N 2.11
59 Nb 0.1250 0.3750 0.2500  4 N 1.95
60 Nb 0.0000 0.5000 0.5000  6 N 2.11
61 Nb 0.3750 0.2500 0.1250  4 N 1.95
62 Nb 0.8750 0.2500 0.6250  4 N 1.95
63 Nb 0.2500 0.3750 0.6250  4 N 1.95
64 Nb 0.6250 0.7500 0.8750  4 N 1.95
65 Nb 0.0000 0.0000 0.0000  6 N 2.11
66 Nb 0.0000 0.0000 0.5000  6 N 2.11
67 Nb 0.3750 0.1250 0.7500  4 N 1.95
68 Nb 0.5000 0.0000 0.0000  6 N 2.11
69 Sm 0.2500 0.6250 0.8750  8 N 2.53-2.62
70 Sm 0.2500 0.1250 0.3750  8 N 2.53-2.62
71 Sm 0.3750 0.7500 0.6250  8 N 2.53-2.62
72 Sm 0.3750 0.6250 0.2500  8 N 2.53-2.62
73 Sm 0.7500 0.8750 0.6250  8 N 2.53-2.62
74 Sm 0.8750 0.1250 0.2500  8 N 2.53-2.62
75 Sm 0.1250 0.2500 0.8750  8 N 2.53-2.62
76 Sm 0.8750 0.7500 0.1250  8 N 2.53-2.62
77 Sm 0.1250 0.8750 0.7500  8 N 2.53-2.62
78 Sm 0.6250 0.2500 0.3750  8 N 2.53-2.62
79 Sm 0.6250 0.3750 0.7500  8 N 2.53-2.62
80 Sm 0.7500 0.3750 0.1250  8 N 2.53-2.62

Properties
- Raw formation energy: -902 meV/atom
- Space-group type: Ia-3d (230)
- Raw total energy: -9.123 eV/atom

---

A plane-wave DFT calculation with PBE was carried out for a geometry-optimized SrSmNbN3 structure.

abc: 3.9420 7.1896 7.2773
angles: 103.82 90.00 105.91
Closest atoms and distances in Å follow each position.
Fractional coordinates of all 12 atoms:
1 N 0.4954 0.9909 0.7069  2 Nb 2.02
2 N 0.1611 0.3222 0.3475  1 Nb 2.18
3 N 0.5046 0.0091 0.2931  2 Nb 2.02
4 N 0.8509 0.7018 0.1923  1 Nb 2.01
5 N 0.1491 0.2982 0.8077  1 Nb 2.01
6 N 0.8389 0.6778 0.6525  1 Nb 2.18
7 Nb 0.0002 0.0005 0.2309  4 N 2.01-2.18
8 Nb 0.9998 0.9995 0.7691  4 N 2.01-2.18
9 Sm 0.3489 0.6978 0.4317  7 N 2.47-2.64
10 Sm 0.6511 0.3022 0.5683  7 N 2.47-2.64
11 Sr 0.3381 0.6761 0.9143  5 N 2.53-2.80
12 Sr 0.6619 0.3239 0.0857  5 N 2.53-2.80

Properties
- Raw formation energy: -1013 meV/atom
- Space-group type: C2/m (12)
- Raw total energy: -7.921 eV/atom

---

A plane-wave DFT calculation with PBE was carried out for a geometry-optimized Sr2SmNbN4 structure.

abc: 7.0439 7.0440 7.1383
angles: 120.45 120.44 90.27
Closest atoms and distances in Å follow each position.
Fractional coordinates of all 16 atoms:
1 Sr 0.5000 0.5000 0.0000  6 N 2.70-2.84
2 Sr 0.5000 0.0000 0.0000  6 N 2.55-2.57
3 Sr 0.5000 0.0000 0.5000  6 N 2.55-2.57
4 Sr 0.0000 0.0000 0.5000  6 N 2.70-2.84
5 N 0.7977 0.2284 0.0131  1 Nb 2.15
6 N 0.2023 0.7716 0.9869  1 Nb 2.15
7 N 0.7284 0.2977 0.5131  1 Nb 2.15
8 N 0.2459 0.2544 0.4600  2 Nb 2.29, 1 Sm 2.47, 1 Sr 2.55
9 N 0.7543 0.7458 0.9599  2 Nb 2.29, 1 Sm 2.47, 1 Sr 2.55
10 N 0.7542 0.7457 0.5401  2 Nb 2.29, 1 Sm 2.47, 1 Sr 2.55
11 N 0.2457 0.2542 0.0401  2 Nb 2.29, 1 Sm 2.47, 1 Sr 2.55
12 N 0.2716 0.7023 0.4869  1 Nb 2.15
13 Sm 0.0000 0.5000 0.5000  6 N 2.45-2.47
14 Sm 0.0000 0.5000 0.0000  6 N 2.45-2.47
15 Nb 0.5000 0.5000 0.5000  6 N 2.15-2.29
16 Nb 0.0000 0.0000 0.0000  6 N 2.15-2.29

Properties
- Raw formation energy: -965 meV/atom
- Space-group type: Imma (74)
- Raw total energy: -7.397 eV/atom

---

A plane-wave DFT calculation with PBE was carried out for a geometry-optimized Sm2TaNbN5 structure.

abc: 3.3645 6.9358 10.5806
angles: 90.00 90.00 104.04
Closest atoms and distances in Å follow each position.
Fractional coordinates of all 18 atoms:
1 Sm 0.1069 0.2138 0.6910  6 N 2.37-2.62
2 Sm 0.1456 0.2912 0.2878  6 N 2.48-2.74
3 Sm 0.8544 0.7088 0.7878  6 N 2.48-2.74
4 Sm 0.8931 0.7862 0.1910  6 N 2.37-2.62
5 Ta 0.2239 0.4478 0.0127  3 N 1.98-2.19
6 Ta 0.7761 0.5522 0.5127  3 N 1.98-2.19
7 N 0.6861 0.3723 0.8846  2 Ta 2.22, 1 Nb 2.26
8 N 0.2790 0.5579 0.6448  2 Ta 2.19, 1 Sm 2.37
9 N 0.6294 0.2587 0.5029  1 Ta 1.98, 1 Nb 2.19
10 N 0.0559 0.1119 0.0558  2 Nb 1.99
11 N 0.9441 0.8881 0.5558  2 Nb 1.99
12 N 0.7210 0.4421 0.1448  2 Ta 2.19, 1 Sm 2.37
13 N 0.3706 0.7413 0.0029  1 Ta 1.98, 1 Nb 2.19
14 N 0.4922 0.9844 0.7832  1 Nb 1.95
15 N 0.3139 0.6277 0.3846  2 Ta 2.22, 1 Nb 2.26
16 N 0.5078 0.0156 0.2832  1 Nb 1.95
17 Nb 0.4703 0.9407 0.4613  3 N 1.95-1.99
18 Nb 0.5297 0.0593 0.9613  3 N 1.95-1.99

Properties
- Raw formation energy: -1238 meV/atom
- Space-group type: Cmc2_1 (36)
- Raw total energy: -9.348 eV/atom

---

A plane-wave DFT calculation with PBE was carried out for a geometry-optimized Tb2SmNbN4 structure.

abc: 3.4125 6.2051 12.1807
angles: 90.00 90.00 105.96
Closest atoms and distances in Å follow each position.
Fractional coordinates of all 16 atoms:
1 N 0.0000 0.0000 0.0000  4 Tb 2.34
2 N 0.2610 0.5219 0.3760  1 Nb 1.97
3 N 0.7390 0.4781 0.8760  1 Nb 1.97
4 N 0.2610 0.5219 0.1240  1 Nb 1.97
5 N 0.7390 0.4781 0.6240  1 Nb 1.97
6 N 0.4523 0.9047 0.7500  2 Nb 2.15
7 N 0.5477 0.0953 0.2500  2 Nb 2.15
8 N 0.0000 0.0000 0.5000  4 Tb 2.34
9 Tb 0.6300 0.2601 0.4653  5 N 2.33-2.56
10 Tb 0.3700 0.7399 0.5347  5 N 2.33-2.56
11 Tb 0.3700 0.7399 0.9653  5 N 2.33-2.56
12 Tb 0.6300 0.2601 0.0347  5 N 2.33-2.56
13 Nb 0.8425 0.6850 0.7500  4 N 1.97-2.15
14 Nb 0.1575 0.3150 0.2500  4 N 1.97-2.15
15 Sm 0.8960 0.7920 0.2500  2 N 2.49
16 Sm 0.1040 0.2080 0.7500  2 N 2.49

Properties
- Raw formation energy: -1235 meV/atom
- Space-group type: Cmcm (63)
- Raw total energy: -8.404 eV/atom